# 1
A relaxed La2CeGd crystal. Source: Alexandria via LeMat-Bulk, functional PBE-GGA.

Cell and atoms, written as POSCAR:
```
La2CeGd
1.0
-1.9857 1.9404 2.2766
1.1478 -2.0291 2.7306
7.8885 6.3911 1.4332
La Ce Gd
2 1 1
direct
0.0000 0.0000 0.2642 La
0.0000 0.0000 0.7358 La
0.5000 0.5000 0.5000 Ce
0.5000 0.5000 0.0000 Gd
```

Total DFT energy (no corrections) = -7.420 eV per atom
Crystal system = tetragonal

# 2
A relaxed LiNb3Rh crystal. Source: Alexandria via LeMat-Bulk, functional PBE-GGA.

Cell and atoms, written as POSCAR:
```
LiNb3Rh
1.0
4.3555 0.0000 0.0000
0.0000 4.3555 0.0000
0.0000 0.0000 4.3555
Nb Rh Li
3 1 1
direct
0.0000 0.5000 0.0000 Nb
0.0000 0.0000 0.5000 Nb
0.5000 0.0000 0.0000 Nb
0.5000 0.5000 0.5000 Rh
0.0000 0.0000 0.0000 Li
```

Total DFT energy (no corrections) = -6.906 eV per atom
Excess energy over the best structure of this formula in the dataset = 0.0 meV/atom
Crystal system = cubic

# 3
A relaxed Si2SbRu crystal. Source: Alexandria via LeMat-Bulk, functional PBE-GGA.

Cell and atoms, written as POSCAR:
```
Si2SbRu
1.0
5.1156 0.0013 0.0273
-2.3422 4.5480 0.0273
1.4072 2.3083 3.0564
Sb Ru Si
1 1 2
direct
0.0000 0.5000 0.5000 Sb
0.5000 0.0000 0.5000 Ru
0.5000 0.5000 0.0000 Si
0.0000 0.0000 0.0000 Si
```

Formation energy (no corrections) = 0.42 eV per atom
Total DFT energy (no corrections) = -5.645 eV per atom
Crystal system = monoclinic